TlCr2Pt, optimized geometry, DFT PBE-GGA; volume = 68.78 Å³/cell; excess energy over the best structure of this formula in the dataset = 9.0 kJ per mole of atoms; crystal system = tetragonal; total moment = 7.34 Bohr magnetons per cell; energy of formation = 1.3 eV/f.u.; density of states at the Fermi level = 4.18 states/eV/f.u.
1.0
4.3469 0.0000 0.0000
0.0000 4.3469 0.0000
0.0000 0.0000 3.6401
Tl Cr Pt
1 2 1
Cartesian
0.0000 0.0000 0.0000 Tl
0.0000 2.1734 1.8200 Cr
2.1734 0.0000 1.8200 Cr
2.1734 2.1734 0.0000 Pt

***

Pr5Nd2Tm6, optimized geometry, DFT PBE-GGA; volume = 876.37 Å³/cell; crystal system = orthorhombic; total moment = 0.00 Bohr magnetons per cell; energy of formation = 1.2 eV/f.u.; density of states at the Fermi level = 18.09 states/eV/f.u.
1.0
11.6736 0.0000 0.0000
0.0000 20.8352 0.0000
0.0000 0.0000 3.6032
Pr Nd Tm
10 4 12
Cartesian
0.0000 0.0000 0.0000 Pr
0.7673 6.0539 0.0000 Pr
2.2849 11.8400 0.0000 Pr
3.5519 1.4224 0.0000 Pr
5.0695 16.4715 0.0000 Pr
5.8368 10.4176 0.0000 Pr
6.6041 4.3637 0.0000 Pr
8.1216 19.4129 0.0000 Pr
9.3887 8.9953 0.0000 Pr
10.9063 14.7814 0.0000 Pr
2.2368 15.2475 1.8016 Nd
3.6000 4.8299 1.8016 Nd
8.0735 16.0053 1.8016 Nd
9.4368 5.5877 1.8016 Nd
0.7089 2.9829 1.8016 Tm
0.8744 9.0378 1.8016 Tm
2.2163 18.2863 0.0000 Tm
3.6205 7.8687 0.0000 Tm
4.9624 19.4554 1.8016 Tm
5.1278 13.4005 1.8016 Tm
6.5457 7.4347 1.8016 Tm
6.7112 1.3799 1.8016 Tm
8.0531 12.9665 0.0000 Tm
9.4572 2.5489 0.0000 Tm
10.7991 11.7975 1.8016 Tm
10.9646 17.8523 1.8016 Tm

***

TmTl3Bi3S8, optimized geometry, DFT PBE-GGA; volume = 418.83 Å³/cell; crystal system = monoclinic; total moment = 0.00 Bohr magnetons per cell; energy relative to the elements, uncorrected = -641 meV per atom; density of states at the Fermi level = 6.54 states/eV/f.u.
1.0
7.0610 -4.0807 0.0000
7.0610 4.0807 0.0000
-4.6951 0.0000 7.2679
Tm Tl Bi S
1 3 3 8
Cartesian
0.0000 0.0000 0.0000 Tm
-2.3476 0.0000 3.6340 Tl
1.1829 2.0404 3.6340 Tl
1.1829 -2.0404 3.6340 Tl
3.5305 2.0404 0.0000 Bi
3.5305 -2.0404 0.0000 Bi
7.0610 0.0000 0.0000 Bi
5.9254 2.1111 1.5175 S
2.2741 0.0000 1.5187 S
3.5014 2.1111 5.7505 S
0.0108 0.0000 5.6666 S
9.4160 0.0000 1.6013 S
5.9254 -2.1111 1.5175 S
7.1527 0.0000 5.7492 S
3.5014 -2.1111 5.7505 S